# SmTh2PdN4 | Alexandria via LeMat-Bulk | PBE | optimized geometry
# **Magnetic moment**: 0.0 μB per formula unit
# **Formation energy from raw total energies**: -1.08 eV per atom
data_SmTh2PdN4
_chemical_formula_sum 'Sm4 Th8 Pd4 N16'
_cell_length_a 3.552
_cell_length_b 12.014
_cell_length_c 12.157
_cell_angle_alpha 90.00
_cell_angle_beta 90.00
_cell_angle_gamma 90.00
_space_group_name_H-M_alt 'C m c m'
_space_group_IT_number 63
_space_group_name_Hall '-C 2c 2'
loop_
_atom_site_label
_atom_site_type_symbol
_atom_site_fract_x
_atom_site_fract_y
_atom_site_fract_z
_atom_site_occupancy
Sm1 Sm 0.000 0.115 0.250 1
Th1 Th 0.000 0.371 0.057 1
Pd1 Pd 0.000 0.146 0.750 1
N1 N 0.000 0.000 0.000 1
N2 N 0.000 0.273 0.614 1
N3 N 0.000 0.466 0.250 1